[1]
# CaNpIn2O8

A relaxed CaNpIn2O8 crystal (GGA-PBE, the Alexandria database).

Output
uncorrected energy	-84.3	eV for the cell shown
size of the total moment	1.03	μB per cell
raw formation energy	-2.016	eV/atom
ρ	6.08	g cm⁻³

Lattice parameters (Å, degrees): 5.046 5.040 6.822 90.00 90.00 90.30
Last column: magnetic moment on the atom in μB.
Atoms (fractional coordinates):
O  0.815  0.186  0.215  0.02
O  0.678  0.680  0.500  0.36
O  0.301  0.300  0.000  0.04
Ca  0.000  0.000  0.500  0.01
In  0.500  0.500  0.754  -0.01
O  0.699  0.700  0.000  0.04
O  0.322  0.320  0.500  0.36
Np  0.000  0.000  0.000  -0.04
O  0.185  0.814  0.215  0.02
O  0.185  0.814  0.785  0.02
O  0.815  0.186  0.785  0.02
In  0.500  0.500  0.246  -0.01



[2]
# Be3CoRh2

A relaxed Be3CoRh2 crystal (GGA-PBE, the Alexandria database).

Output
uncorrected energy	-35.9	eV for the cell shown
size of the total moment	0.46	μB per cell
energy of formation	-491	meV/atom
ρ	7.95	g cm⁻³

Lattice parameters (Å, degrees): 2.742 2.742 8.112 90.00 90.00 90.00
Last column: magnetic moment on the atom in μB.
Atoms (fractional coordinates):
Be  0.000  0.000  0.348  -0.01
Co  0.500  0.500  0.500  0.36
Be  0.000  0.000  0.000  0.00
Rh  0.500  0.500  0.824  0.07
Be  0.000  0.000  0.652  -0.01
Rh  0.500  0.500  0.176  0.07



[3]
# CsHgSbAu

A relaxed CsHgSbAu crystal (GGA-PBE, the Alexandria database).

Output
uncorrected energy	-9.5	eV for the cell shown
size of the total moment	0.00	μB per cell
raw formation energy	-0.237	eV/atom
ρ	7.30	g cm⁻³

Lattice parameters (Å, degrees): 5.450 4.986 6.591 112.22 114.42 90.00
Atoms (fractional coordinates):
Cs  0.321  0.780  0.642
Au  0.680  0.138  0.361
Sb  0.583  0.541  0.167
Hg  0.950  0.409  0.900



[4]
# GeB2Pb

A relaxed GeB2Pb crystal (GGA-PBE, the Alexandria database).

Output
uncorrected energy	-15.3	eV for the cell shown
polymorph energy (0 for the lowest one)	2.98	eV/f.u.
size of the total moment	0.00	μB per cell
energy of formation	1593	meV/atom
ρ	7.81	g cm⁻³

Lattice parameters (Å, degrees): 4.491 4.491 4.491 60.00 60.00 60.00
Atoms (fractional coordinates):
B  0.750  0.750  0.750
B  0.250  0.250  0.250
Ge  0.000  0.000  0.000
Pb  0.500  0.500  0.500



[5]
# Ca3NdCd4

A relaxed Ca3NdCd4 crystal (GGA-PBE, the Alexandria database).

Output
uncorrected energy	-17.3	eV for the cell shown
size of the total moment	0.00	μB per cell
energy of formation	-357	meV/atom
ρ	5.22	g cm⁻³

Lattice parameters (Å, degrees): 5.428 5.428 9.432 73.28 73.28 60.00
Atoms (fractional coordinates):
Ca  0.751  0.751  0.747
Cd  0.375  0.375  0.874
Ca  0.500  0.500  0.500
Cd  0.625  0.625  0.126
Nd  0.000  0.000  0.000
Cd  0.875  0.875  0.374
Ca  0.249  0.249  0.253
Cd  0.125  0.125  0.626



[6]
# Cs2CdRu

A relaxed Cs2CdRu crystal (GGA-PBE, the Alexandria database).

Output
uncorrected energy	-7.6	eV for the cell shown
polymorph energy (0 for the lowest one)	1.25	eV/f.u.
size of the total moment	2.09	μB per cell
energy of formation	1067	meV/atom
ρ	4.51	g cm⁻³

Lattice parameters (Å, degrees): 6.294 6.294 6.294 60.00 60.00 60.00
Last column: magnetic moment on the atom in μB.
Atoms (fractional coordinates):
Ru  0.000  0.000  0.000  2.15
Cs  0.250  0.250  0.250  -0.01
Cd  0.500  0.500  0.500  -0.02
Cs  0.750  0.750  0.750  -0.01



[7]
# PuIO5F

A relaxed PuIO5F crystal (GGA-PBE, the Alexandria database).

Output
uncorrected energy	-107.6	eV for the cell shown
size of the total moment	4.00	μB per cell
raw formation energy	-1.409	eV/atom
ρ	5.90	g cm⁻³

Lattice parameters (Å, degrees): 5.833 5.833 8.141 101.22 101.22 94.22
Last column: magnetic moment on the atom in μB.
Atoms (fractional coordinates):
F  0.631  0.369  0.750  -0.02
I  0.385  0.615  0.750  0.01
Pu  0.000  0.000  0.000  2.53
O  0.963  0.037  0.750  -0.17
O  0.166  0.670  0.887  -0.04
I  0.615  0.385  0.250  0.01
O  0.670  0.166  0.387  -0.04
O  0.836  0.688  0.443  -0.12
O  0.164  0.312  0.557  -0.12
O  0.330  0.834  0.613  -0.04
O  0.834  0.330  0.113  -0.04
O  0.688  0.836  0.943  -0.12
O  0.037  0.963  0.250  -0.17
F  0.369  0.631  0.250  -0.02
Pu  0.000  0.000  0.500  2.53
O  0.312  0.164  0.057  -0.12



[8]
# HgH2Pb

A relaxed HgH2Pb crystal (GGA-PBE, the Alexandria database).

Output
uncorrected energy	-18.2	eV for the cell shown
polymorph energy (0 for the lowest one)	0.00	eV/f.u.
size of the total moment	0.00	μB per cell
ρ	7.42	g cm⁻³

Lattice parameters (Å, degrees): 5.600 5.600 7.062 66.64 66.64 90.00
Atoms (fractional coordinates):
Pb  0.750  0.250  0.500
H  0.875  0.068  0.750
Pb  0.000  0.000  0.000
H  0.818  0.125  0.250
Hg  0.250  0.750  0.500
H  0.375  0.182  0.750
Hg  0.500  0.500  0.000
H  0.932  0.625  0.250